1.
Density functional theory data (GGA-PBE) for a geometry-optimized Ac3Nd5Sm structure.

Cell and atoms, written as extended XYZ:
```
18
Lattice="8.067 0.763 -0.971 2.942 7.550 -0.971 2.464 1.860 12.232" Properties=species:S:1:pos:R:3 pbc="T T T"
Ac 9.146 6.906 8.324
Ac 9.217 6.960 4.715
Ac 0.000 0.000 0.000
Ac 1.232 0.930 6.116
Ac 4.327 3.267 1.966
Ac 4.255 3.213 5.575
Nd 8.951 3.586 1.630
Nd 4.664 5.269 -0.971
Nd 8.322 6.284 -1.068
Nd 6.657 5.027 3.427
Nd 6.815 5.146 6.863
Nd 5.151 3.889 11.358
Nd 5.900 7.628 1.630
Nd 6.344 3.044 -0.971
Nd 4.521 6.587 8.661
Nd 7.573 2.545 8.661
Sm 3.163 2.388 8.866
Sm 10.310 7.785 1.425
```

Space-group type   No. 12
ρ   6.9 g cm⁻³
Total magnetization   0.00 μB/f.u.
Electronic total energy   -36.825 eV per formula unit
E_form   0.4509 eV/atom

---

2.
Density functional theory data (GGA-PBE) for a geometry-optimized AcNd2Sm7 structure.

Cell and atoms, written as extended XYZ:
```
10
Lattice="-1.816 -3.096 0.293 8.587 -5.311 -2.909 -0.217 1.114 10.446" Properties=species:S:1:pos:R:3 pbc="T T T"
Ac 0.000 0.000 0.000
Nd 6.109 -5.714 -0.381
Nd 0.445 -1.580 8.211
Sm 5.693 -3.199 1.482
Sm 2.678 -0.998 6.055
Sm 0.090 -1.782 3.859
Sm 6.465 -5.511 3.971
Sm 2.418 -3.482 0.327
Sm 4.136 -3.811 7.503
Sm 3.277 -3.647 3.915
```

Space-group type   No. 65
ρ   7.0 g cm⁻³
Total magnetization   0.00 μB/f.u.
Electronic total energy   -42.777 eV per formula unit
E_form   0.3901 eV/atom

---

3.
Density functional theory data (GGA-PBE) for a geometry-optimized Ac5Nd2Sm4 structure.

Cell and atoms, written as extended XYZ:
```
11
Lattice="3.717 0.000 0.000 0.000 11.035 -6.131 0.000 -6.877 14.486" Properties=species:S:1:pos:R:3 pbc="T T T"
Ac 0.000 4.610 0.396
Ac 0.000 1.088 1.516
Ac 0.000 5.517 -3.066
Ac 0.000 3.070 6.839
Ac 0.000 -0.453 7.959
Nd 0.000 -4.151 9.216
Nd 0.000 8.308 -0.861
Sm 1.859 3.815 3.601
Sm 1.859 -4.633 12.410
Sm 1.859 0.342 4.755
Sm 1.859 8.791 -4.055
```

Space-group type   No. 10
ρ   7.7 g cm⁻³
Total magnetization   0.00 μB/f.u.
Electronic total energy   -47.346 eV per formula unit
E_form   0.1463 eV/atom

---

4.
Density functional theory data (GGA-PBE) for a geometry-optimized Ac7NdSm4 structure.

Cell and atoms, written as extended XYZ:
```
12
Lattice="0.671 -3.563 -6.808 4.821 -8.080 -4.041 -5.941 -6.924 2.975" Properties=species:S:1:pos:R:3 pbc="T T T"
Ac 2.895 -6.768 -7.120
Ac -3.345 -11.799 -0.755
Ac -1.918 -10.336 -5.797
Ac 1.469 -8.232 -2.078
Ac -0.059 -11.709 -2.669
Ac 0.335 -1.782 -3.404
Ac -0.390 -6.858 -5.205
Nd 0.000 0.000 0.000
Sm 1.882 -10.044 -5.529
Sm -2.331 -8.523 -2.345
Sm 0.309 -13.485 -6.070
Sm -0.759 -5.083 -1.805
```

Space-group type   No. 2
ρ   8.0 g cm⁻³
Total magnetization   0.00 μB/f.u.
Electronic total energy   -51.941 eV per formula unit
E_form   0.0386 eV/atom

---

5.
Density functional theory data (GGA-PBE) for a geometry-optimized Ac6Nd3Sm structure.

Cell and atoms, written as extended XYZ:
```
10
Lattice="0.336 0.086 -7.528 2.154 -9.222 -0.009 -6.195 0.124 3.497" Properties=species:S:1:pos:R:3 pbc="T T T"
Ac -1.292 -2.655 -1.921
Ac -2.586 -6.402 1.750
Ac -2.414 -6.358 -2.119
Ac -1.119 -2.611 -5.790
Ac -4.251 -0.692 -0.197
Ac 0.545 -8.320 -3.843
Nd -4.059 -2.961 -3.987
Nd 0.353 -6.052 -0.053
Nd 0.000 0.000 0.000
Sm 1.245 -4.568 -3.769
```

Space-group type   No. 12
ρ   7.8 g cm⁻³
Total magnetization   0.00 μB/f.u.
Electronic total energy   -41.628 eV per formula unit
E_form   0.2045 eV/atom

---

6.
Density functional theory data (GGA-PBE) for a geometry-optimized Ac3Nd2Sm3 structure.

Cell and atoms, written as extended XYZ:
```
16
Lattice="-4.068 -4.208 -3.579 8.053 -3.160 -5.438 5.487 -8.011 3.181" Properties=species:S:1:pos:R:3 pbc="T T T"
Ac -1.777 -5.015 -1.946
Ac 3.032 -10.040 -1.504
Ac 3.133 -5.582 -6.860
Ac 3.197 -7.203 1.548
Ac 6.440 -5.337 -4.332
Ac 0.852 -1.785 -2.157
Nd 4.513 -3.723 -0.752
Nd 6.993 -9.550 -3.294
Nd 9.027 -7.447 -1.504
Nd 2.480 -5.827 -2.542
Sm 8.220 -11.013 -6.256
Sm 3.941 -8.321 -4.558
Sm 0.279 -4.462 -4.933
Sm 1.252 -4.364 0.421
Sm 5.531 -7.056 -1.278
Sm 3.706 -2.905 -4.084
```

Space-group type   No. 193
ρ   7.6 g cm⁻³
Total magnetization   0.00 μB/f.u.
Electronic total energy   -34.744 eV per formula unit
E_form   0.1593 eV/atom

---

7.
Density functional theory data (GGA-PBE) for a geometry-optimized Ac6Nd3Sm2 structure.

Cell and atoms, written as extended XYZ:
```
11
Lattice="-5.125 -6.716 -1.592 5.066 -3.406 2.648 -2.999 -12.932 8.619" Properties=species:S:1:pos:R:3 pbc="T T T"
Ac 0.827 -13.665 8.864
Ac -5.012 -14.051 5.541
Ac -3.884 -9.388 0.811
Ac 1.955 -9.002 4.134
Ac -1.205 -14.700 5.739
Ac -1.853 -8.354 3.936
Nd 0.000 0.000 0.000
Nd -2.523 -12.049 3.216
Nd -0.534 -11.004 6.460
Sm 0.647 -6.412 1.729
Sm -3.704 -16.642 7.946
```

Space-group type   No. 2
ρ   7.9 g cm⁻³
Total magnetization   0.00 μB/f.u.
Electronic total energy   -47.964 eV per formula unit
E_form   0.0390 eV/atom

---

8.
Density functional theory data (GGA-PBE) for a geometry-optimized Ac2Nd3Sm4 structure.

Cell and atoms, written as extended XYZ:
```
9
Lattice="-2.890 -0.099 -2.374 -0.574 -0.472 3.667 -3.383 27.264 2.978" Properties=species:S:1:pos:R:3 pbc="T T T"
Ac -2.440 2.368 -0.077
Ac -5.050 23.404 2.221
Nd -3.325 26.797 2.927
Nd -1.109 8.941 0.977
Nd -4.311 17.450 1.570
Sm -1.828 14.736 1.610
Sm -3.597 11.696 0.942
Sm -2.879 5.908 0.309
Sm -2.550 20.553 2.245
```

Space-group type   No. 156
ρ   7.4 g cm⁻³
Total magnetization   0.00 μB/f.u.
Electronic total energy   -40.683 eV per formula unit
E_form   0.0793 eV/atom

---

9.
Density functional theory data (GGA-PBE) for a geometry-optimized AcNdSm5 structure.

Cell and atoms, written as extended XYZ:
```
14
Lattice="-1.247 -6.587 0.885 6.599 -0.618 -1.342 -0.719 5.078 11.077" Properties=species:S:1:pos:R:3 pbc="T T T"
Ac 0.000 0.000 0.000
Ac -0.360 2.539 5.539
Nd 2.228 0.276 8.053
Nd 2.404 -2.403 2.566
Sm -0.869 1.678 9.525
Sm 4.055 -0.833 5.318
Sm 2.258 1.244 3.201
Sm -0.443 -1.756 8.811
Sm 2.522 2.998 10.186
Sm 2.110 -5.125 0.433
Sm 5.075 -0.371 1.808
Sm 2.375 -3.371 7.419
Sm 0.577 -1.294 5.302
Sm 5.501 -3.805 1.095
```

Space-group type   No. 15
ρ   7.4 g cm⁻³
Total magnetization   0.00 μB/f.u.
Electronic total energy   -31.845 eV per formula unit
E_form   0.0895 eV/atom

---

10.
Density functional theory data (GGA-PBE) for a geometry-optimized Ac2Nd3Sm6 structure.

Cell and atoms, written as extended XYZ:
```
11
Lattice="6.071 0.000 1.817 3.036 5.508 0.909 -1.391 0.000 12.114" Properties=species:S:1:pos:R:3 pbc="T T T"
Ac 2.340 3.674 6.966
Ac 5.376 1.834 7.874
Nd 0.000 0.000 0.000
Nd 3.036 1.813 0.909
Nd 6.071 3.695 1.817
Sm 3.489 3.674 10.520
Sm 3.487 0.000 10.522
Sm 0.453 1.834 9.611
Sm 1.194 0.000 3.410
Sm 4.227 1.834 4.320
Sm 7.263 3.674 5.229
```

Space-group type   No. 12
ρ   7.1 g cm⁻³
Total magnetization   0.00 μB/f.u.
Electronic total energy   -48.927 eV per formula unit
E_form   0.1735 eV/atom

---

11.
Density functional theory data (GGA-PBE) for a geometry-optimized Ac10NdSm4 structure.

Cell and atoms, written as extended XYZ:
```
15
Lattice="7.573 0.000 3.419 3.786 9.308 1.710 -0.044 0.000 10.193" Properties=species:S:1:pos:R:3 pbc="T T T"
Ac 3.764 4.654 6.806
Ac 6.014 2.797 11.905
Ac 0.747 0.933 3.406
Ac 6.791 8.375 10.210
Ac 9.077 6.511 5.122
Ac 5.300 6.511 3.417
Ac 7.550 4.654 8.516
Ac 2.237 2.797 10.200
Ac 4.524 0.933 5.112
Ac 10.568 8.375 11.916
Nd 0.000 0.000 0.000
Sm 6.040 7.446 6.814
Sm 8.294 5.584 11.915
Sm 3.020 3.724 3.407
Sm 5.275 1.862 8.508
```

Space-group type   No. 87
ρ   7.0 g cm⁻³
Total magnetization   0.00 μB/f.u.
Electronic total energy   -55.983 eV per formula unit
E_form   0.5830 eV/atom

---

12.
Density functional theory data (GGA-PBE) for a geometry-optimized Ac12Nd7Sm structure.

Cell and atoms, written as extended XYZ:
```
20
Lattice="11.988 -1.428 -2.143 -4.705 11.118 -2.143 -4.705 -6.260 9.435" Properties=species:S:1:pos:R:3 pbc="T T T"
Ac -5.591 -0.282 7.346
Ac 1.294 -5.448 7.349
Ac 2.747 -2.377 2.959
Ac 5.626 1.462 2.185
Ac -5.593 6.886 2.580
Ac -0.160 -0.221 6.203
Ac 2.739 3.652 -1.054
Ac 8.171 -3.456 2.570
Ac -3.047 1.969 2.964
Ac -0.168 5.808 2.191
Ac 1.284 8.878 -2.199
Ac 8.170 3.712 -2.197
Nd 3.447 0.340 5.100
Nd 3.211 0.036 0.043
Nd -0.858 -1.152 2.872
Nd 1.289 1.715 2.575
Nd 3.437 4.583 2.278
Nd -0.632 3.395 5.107
Nd -0.868 3.091 0.050
Sm 0.000 0.000 0.000
```

Space-group type   No. 148
ρ   7.6 g cm⁻³
Total magnetization   0.00 μB/f.u.
Electronic total energy   -83.645 eV per formula unit
E_form   0.1875 eV/atom